Record 1
Compound: Nd2HoTm4Mg
Source: the Alexandria database
Functional: PBE
Structure: optimized geometry

Space-group type ... Pmmm (47)
Crystal system ... orthorhombic

abc: 4.939 4.952 11.219
angles: 63.77 90.00 90.00
Positions (direct):
1 Nd 0.000 0.000 0.000
2 Nd 0.500 0.000 0.500
3 Ho 0.000 0.500 0.500
4 Tm 0.000 0.750 0.750
5 Tm 0.000 0.250 0.250
6 Tm 0.500 0.749 0.250
7 Tm 0.500 0.251 0.750
8 Mg 0.500 0.500 0.000


Record 2
Compound: NdHoTmMg
Source: the Alexandria database
Functional: PBE
Structure: optimized geometry

Excess energy over the best structure of this formula in the dataset ... 0.000 eV per atom
Space-group type ... P4mm (99)
Crystal system ... tetragonal

abc: 3.630 3.630 9.077
angles: 90.00 90.00 90.00
Positions (direct):
1 Nd 0.000 0.000 0.073
2 Ho 0.500 0.500 0.797
3 Tm 0.500 0.500 0.345
4 Mg 0.000 0.000 0.569


Record 3
Compound: Nd2Ho2Tm2Mg
Source: the Alexandria database
Functional: PBE
Structure: optimized geometry

Space-group type ... C2/m (12)
Crystal system ... monoclinic

abc: 3.640 6.324 11.548
angles: 117.72 90.00 106.72
Positions (direct):
1 Nd 0.527 0.053 0.745
2 Nd 0.473 0.947 0.255
3 Ho 0.681 0.362 0.088
4 Ho 0.319 0.638 0.912
5 Tm 0.745 0.490 0.626
6 Tm 0.255 0.510 0.374
7 Mg 0.000 0.000 0.500


Record 4
Compound: Nd3Ho6Tm2Mg
Source: the Alexandria database
Functional: PBE
Structure: optimized geometry

Space-group type ... C2/m (12)
Crystal system ... monoclinic

abc: 6.154 6.154 11.659
angles: 95.08 95.08 120.04
Positions (direct):
1 Nd 0.166 0.834 0.500
2 Nd 0.834 0.166 0.500
3 Nd 0.500 0.500 0.500
4 Ho 0.920 0.587 0.757
5 Ho 0.747 0.747 0.244
6 Ho 0.080 0.413 0.243
7 Ho 0.587 0.920 0.757
8 Ho 0.253 0.253 0.756
9 Ho 0.413 0.080 0.243
10 Tm 0.334 0.666 0.000
11 Tm 0.666 0.334 0.000
12 Mg 0.000 0.000 0.000


Record 5
Compound: NdHoTmMg
Source: the Alexandria database
Functional: PBE
Structure: optimized geometry

Excess energy over the best structure of this formula in the dataset ... 0.051 eV per atom
Space-group type ... F-43m (216)
Crystal system ... cubic

abc: 5.523 5.523 5.523
angles: 60.00 60.00 60.00
Positions (direct):
1 Mg 0.000 0.000 0.000
2 Tm 0.500 0.500 0.500
3 Nd 0.250 0.250 0.250
4 Ho 0.750 0.750 0.750


Record 6
Compound: Nd6Ho2TmMg
Source: the Alexandria database
Functional: PBE
Structure: optimized geometry

Space-group type ... C2/c (15)
Crystal system ... monoclinic

abc: 9.660 8.794 8.794
angles: 116.05 94.62 94.62
Positions (direct):
1 Nd 0.050 0.121 0.760
2 Nd 0.450 0.240 0.879
3 Nd 0.950 0.879 0.240
4 Nd 0.550 0.760 0.121
5 Nd 0.306 0.999 0.433
6 Nd 0.194 0.567 0.001
7 Nd 0.694 0.001 0.567
8 Nd 0.806 0.433 0.999
9 Nd 0.112 0.703 0.504
10 Nd 0.388 0.496 0.297
11 Nd 0.888 0.297 0.496
12 Nd 0.612 0.504 0.703
13 Ho 0.447 0.803 0.707
14 Ho 0.053 0.293 0.197
15 Ho 0.553 0.197 0.293
16 Ho 0.947 0.707 0.803
17 Tm 0.250 0.979 0.021
18 Tm 0.750 0.021 0.979
19 Mg 0.250 0.408 0.592
20 Mg 0.750 0.592 0.408


Record 7
Compound: NdY4Ho2Mg
Source: the Alexandria database
Functional: PBE
Structure: optimized geometry

Space-group type ... P4/mmm (123)
Crystal system ... tetragonal

abc: 5.794 9.465 5.792
angles: 52.30 90.00 90.00
Positions (direct):
1 Nd 0.500 0.500 0.000
2 Y 0.000 0.746 0.754
3 Y 0.000 0.254 0.246
4 Y 0.500 0.746 0.255
5 Y 0.500 0.254 0.745
6 Ho 0.000 0.000 0.000
7 Ho 0.500 0.000 0.500
8 Mg 0.000 0.500 0.500


Record 8
Compound: NdYHoMg
Source: the Alexandria database
Functional: PBE
Structure: optimized geometry

Excess energy over the best structure of this formula in the dataset ... 0.000 eV per atom
Space-group type ... P4mm (99)
Crystal system ... tetragonal

abc: 3.688 3.688 8.968
angles: 90.00 90.00 90.00
Positions (direct):
1 Nd 0.000 0.000 0.074
2 Y 0.500 0.500 0.792
3 Ho 0.500 0.500 0.349
4 Mg 0.000 0.000 0.569


| no. | energy of formation from the pure elements (eV per atom) |
| --- | --- |
| 1 | 0.04 |
| 2 | -0.02 |
| 3 | 0.09 |
| 4 | 0.04 |
| 5 | 0.03 |
| 6 | 0.12 |
| 7 | 0.10 |
| 8 | -0.03 |